This record from the Alexandria database describes a geometry-optimized CrFe4Si structure. The functional is PBE.

a b c (Å): 4.654 4.654 4.654
angles (deg): 60.00 60.00 60.00
Fractional positions:
Cr1 0.000 0.000 0.000
Fe1 0.127 0.624 0.624
Fe2 0.624 0.127 0.624
Fe3 0.624 0.624 0.127
Fe4 0.624 0.624 0.624
Si1 0.250 0.250 0.250

***

This record from the Alexandria database describes a geometry-optimized CrFe2Si structure. The functional is PBE.

a b c (Å): 4.606 4.606 4.606
angles (deg): 142.80 129.65 64.24
Fractional positions:
Cr1 0.000 0.000 0.000
Fe1 0.255 0.755 0.500
Fe2 0.745 0.245 0.500
Si1 0.500 0.500 0.000

***

This record from the Alexandria database describes a geometry-optimized Cr2FeSi structure. The functional is PBE.

a b c (Å): 2.557 3.950 4.509
angles (deg): 90.00 96.88 90.00
Fractional positions:
Cr1 0.000 0.000 0.000
Cr2 0.173 0.500 0.737
Fe1 0.640 0.500 0.240
Si1 0.558 0.000 0.500

***

This record from the Alexandria database describes a geometry-optimized CrFe2Si structure. The functional is PBE.

a b c (Å): 2.854 3.962 3.990
angles (deg): 90.00 90.00 90.00
Fractional positions:
Cr1 0.000 0.000 0.000
Fe1 0.000 0.500 0.500
Fe2 0.500 0.500 0.000
Si1 0.500 0.000 0.500

***

This record from the Alexandria database describes a geometry-optimized Cr2FeSi structure. The functional is PBE.

a b c (Å): 5.140 5.140 5.140
angles (deg): 102.51 102.51 124.52
Fractional positions:
Cr1 0.098 0.625 0.973
Cr2 0.375 0.348 0.473
Cr3 0.652 0.125 0.027
Cr4 0.875 0.902 0.527
Fe1 0.000 0.000 0.000
Fe2 0.750 0.250 0.500
Si1 0.250 0.750 0.500
Si2 0.500 0.500 0.000

***

This record from the Alexandria database describes a geometry-optimized CrFeSi structure. The functional is PBE.

a b c (Å): 3.925 2.776 6.232
angles (deg): 90.00 100.72 90.00
Fractional positions:
Cr1 0.249 0.250 0.003
Cr2 0.751 0.750 0.997
Fe1 0.328 0.750 0.323
Fe2 0.672 0.250 0.677
Si1 0.164 0.750 0.669
Si2 0.836 0.250 0.331

***

| no. | total magnetization (Bohr magnetons per cell) | ΔE_f (raw) (eV/atom) |
| --- | --- | --- |
| 1 | 4.45 | 0.10 |
| 2 | 1.68 | -0.20 |
| 3 | 0.00 | -0.12 |
| 4 | 2.00 | -0.17 |
| 5 | 0.00 | 0.44 |
| 6 | 0.00 | -0.31 |